No. 1
The following is a PBE calculation of a relaxed SrAgSb2 crystal, from the Alexandria database.

Cell and atoms, written as POSCAR:
```
SrAgSb2
1.0
3.564 0.000 0.000
0.000 3.564 0.000
0.000 0.000 8.803
Sr Ag Sb
1 1 2
Direct
0.000 0.000 0.000
0.000 0.000 0.500
0.500 0.500 0.278
0.500 0.500 0.722
```

Values from the calculation:
Raw total energy (eV per atom): -3.38

=====

No. 2
The following is a PBE calculation of a relaxed K2NaSiS4 crystal, from the Alexandria database.

Cell and atoms, written as POSCAR:
```
K2NaSiS4
1.0
-3.856 3.856 3.561
3.856 -3.856 3.561
3.856 3.856 -3.561
K Na Si S
2 1 1 4
Direct
0.000 0.500 0.500
0.500 0.000 0.500
0.000 0.000 0.000
0.500 0.500 0.000
0.161 0.161 0.688
0.473 0.473 0.312
0.527 0.839 0.000
0.839 0.527 0.000
```

Values from the calculation:
Raw total energy (eV per atom): -4.11

=====

No. 3
The following is a PBE calculation of a relaxed CdAs4W crystal, from the Alexandria database.

Cell and atoms, written as POSCAR:
```
CdAs4W
1.0
0.000 3.870 3.870
3.870 0.000 3.870
3.870 3.870 0.000
Cd As W
1 4 1
Direct
0.000 0.000 0.000
0.377 0.377 0.377
0.377 0.377 0.870
0.377 0.870 0.377
0.870 0.377 0.377
0.750 0.750 0.750
```

Values from the calculation:
Raw total energy (eV per atom): -4.50
ΔH_f (0 K) (eV/atom): 0.909

=====

No. 4
The following is a PBE calculation of a relaxed AgBi2Pb crystal, from the Alexandria database.

Cell and atoms, written as POSCAR:
```
AgBi2Pb
1.0
2.361 1.363 6.413
-2.361 1.363 6.413
0.000 -2.727 6.413
Ag Bi Pb
1 2 1
Direct
0.000 0.000 0.000
0.401 0.401 0.401
0.602 0.602 0.602
0.832 0.832 0.832
```

Values from the calculation:
Raw total energy (eV per atom): -3.47
ΔH_f (0 K) (eV/atom): 0.108

=====

No. 5
The following is a PBE calculation of a relaxed TbCeZnFe crystal, from the Alexandria database.

Cell and atoms, written as POSCAR:
```
TbCeZnFe
1.0
0.000 3.495 3.495
3.495 0.000 3.495
3.495 3.495 0.000
Tb Ce Zn Fe
1 1 1 1
Direct
0.000 0.000 0.000
0.500 0.500 0.500
0.250 0.250 0.250
0.750 0.750 0.750
```

Values from the calculation:
Raw total energy (eV per atom): -5.11
ΔH_f (0 K) (eV/atom): -0.030

=====

No. 6
The following is a PBE calculation of a relaxed La2MgAs3Rh12 crystal, from the Alexandria database.

Cell and atoms, written as POSCAR:
```
La2MgAs3Rh12
1.0
4.517 2.608 4.375
-4.517 2.608 4.375
0.000 -5.215 4.375
La Mg As Rh
2 1 3 12
Direct
0.136 0.136 0.136
0.864 0.864 0.864
0.500 0.500 0.500
0.000 0.500 0.500
0.500 0.000 0.500
0.500 0.500 0.000
0.124 0.124 0.601
0.124 0.601 0.124
0.182 0.682 0.682
0.318 0.318 0.818
0.318 0.818 0.318
0.399 0.876 0.876
0.601 0.124 0.124
0.682 0.182 0.682
0.682 0.682 0.182
0.818 0.318 0.318
0.876 0.399 0.876
0.876 0.876 0.399
```

Values from the calculation:
Raw total energy (eV per atom): -6.56
ΔH_f (0 K) (eV/atom): -0.251

=====

No. 7
The following is a PBE calculation of a relaxed LiTaZn2 crystal, from the Alexandria database.

Cell and atoms, written as POSCAR:
```
LiTaZn2
1.0
2.830 0.000 0.000
0.000 2.830 0.000
0.000 0.000 7.783
Li Ta Zn
1 1 2
Direct
0.000 0.000 0.000
0.500 0.500 0.289
0.000 0.000 0.541
0.500 0.500 0.775
```

Values from the calculation:
Raw total energy (eV per atom): -3.98
ΔH_f (0 K) (eV/atom): 0.100
Distance to the lowest polymorph of the same formula (eV per atom): 0.167